(1)
CaGdYIn | Alexandria | PBE-GGA | relaxed; V = 29.7 Å³ per atom; M_tot = 7.5 μB/f.u.; ΔH_f (0 K) = -0.1610 eV per atom
1.0
7.8050 0.0000 0.0000
0.0000 7.8050 0.0000
0.0000 0.0000 7.8050
Ca Gd Y In
4 4 4 4
Cartesian
0.0000 0.0000 0.0000
0.0000 3.9025 3.9025
3.9025 0.0000 3.9025
3.9025 3.9025 0.0000
1.9512 1.9512 5.8537
1.9512 5.8537 1.9512
5.8537 1.9512 1.9512
5.8537 5.8537 5.8537
1.9512 1.9512 1.9512
1.9512 5.8537 5.8537
5.8537 1.9512 5.8537
5.8537 5.8537 1.9512
0.0000 0.0000 3.9025
0.0000 3.9025 0.0000
3.9025 0.0000 0.0000
3.9025 3.9025 3.9025



(2)
CaGdIr2 | Alexandria | PBE-GGA | relaxed; V = 20.4 Å³ per atom; M_tot = 6.9 μB/f.u.; ΔH_f (0 K) = -0.4485 eV per atom; energy above the most stable polymorph in this dataset = 0 kJ/mol of formula units
1.0
3.3808 0.0000 0.0000
0.0000 3.3808 0.0000
0.0000 0.0000 7.1526
Ca Gd Ir
1 1 2
Cartesian
0.0000 0.0000 0.0000
0.0000 0.0000 3.5763
1.6904 1.6904 1.8642
1.6904 1.6904 5.2884



(3)
CaGdIr | Alexandria | PBE-GGA | relaxed; V = 26.8 Å³ per atom; M_tot = 7.0 μB/f.u.; ΔH_f (0 K) = -0.4905 eV per atom; energy above the most stable polymorph in this dataset = 0 kJ/mol of formula units
1.0
6.8507 0.0000 0.0000
0.0000 6.8507 0.0000
0.0000 0.0000 6.8507
Ca Gd Ir
4 4 4
Cartesian
0.0000 0.0000 0.0000
0.0000 3.4254 3.4254
3.4254 0.0000 3.4254
3.4254 3.4254 0.0000
0.0000 0.0000 3.4254
0.0000 3.4254 0.0000
3.4254 0.0000 0.0000
3.4254 3.4254 3.4254
1.7127 1.7127 1.7127
1.7127 5.1380 5.1380
5.1380 1.7127 5.1380
5.1380 5.1380 1.7127



(4)
CaGdIr4 | Alexandria | PBE-GGA | relaxed; V = 18.3 Å³ per atom; M_tot = 6.8 μB/f.u.; ΔH_f (0 K) = -0.6302 eV per atom
1.0
0.0000 3.8003 3.8003
3.8003 0.0000 3.8003
3.8003 3.8003 0.0000
Ca Gd Ir
1 1 4
Cartesian
0.0000 0.0000 0.0000
1.9002 1.9002 1.9002
4.7513 2.8493 2.8493
2.8493 4.7513 2.8493
2.8493 2.8493 4.7513
4.7513 4.7513 4.7513



(5)
CaGdIr2 | Alexandria | PBE-GGA | relaxed; V = 20.2 Å³ per atom; M_tot = 7.0 μB/f.u.; ΔH_f (0 K) = -0.4449 eV per atom; energy above the most stable polymorph in this dataset = 1 kJ/mol of formula units
1.0
6.8629 0.0000 0.0000
0.0000 6.8629 0.0000
0.0000 0.0000 6.8629
Ca Gd Ir
4 4 8
Cartesian
0.0000 0.0000 0.0000
0.0000 3.4314 3.4314
3.4314 0.0000 3.4314
3.4314 3.4314 0.0000
0.0000 0.0000 3.4314
0.0000 3.4314 0.0000
3.4314 0.0000 0.0000
3.4314 3.4314 3.4314
1.7157 1.7157 1.7157
1.7157 1.7157 5.1472
1.7157 5.1472 1.7157
1.7157 5.1472 5.1472
5.1472 1.7157 1.7157
5.1472 1.7157 5.1472
5.1472 5.1472 1.7157
5.1472 5.1472 5.1472



(6)
CaGdIr | Alexandria | PBE-GGA | relaxed; V = 26.6 Å³ per atom; M_tot = 7.1 μB/f.u.; ΔH_f (0 K) = -0.4592 eV per atom; energy above the most stable polymorph in this dataset = 9 kJ/mol of formula units
1.0
3.4729 0.0000 0.0000
0.0000 3.4729 0.0000
0.0000 0.0000 13.2555
Ca Gd Ir
2 2 2
Cartesian
0.0000 0.0000 0.0000
1.7364 1.7364 6.6277
0.0000 0.0000 3.3447
1.7364 1.7364 9.9724
0.0000 0.0000 8.4699
1.7364 1.7364 1.8422



(7)
LiCaGdIr | Alexandria | PBE-GGA | relaxed; V = 21.6 Å³ per atom; M_tot = 7.2 μB/f.u.; ΔH_f (0 K) = -0.3678 eV per atom
1.0
7.0222 0.0000 0.0000
0.0000 7.0222 0.0000
0.0000 0.0000 7.0222
Li Ca Gd Ir
4 4 4 4
Cartesian
0.0000 0.0000 0.0000
0.0000 3.5111 3.5111
3.5111 0.0000 3.5111
3.5111 3.5111 0.0000
1.7556 1.7556 5.2667
1.7556 5.2667 1.7556
5.2667 1.7556 1.7556
5.2667 5.2667 5.2667
1.7556 1.7556 1.7556
1.7556 5.2667 5.2667
5.2667 1.7556 5.2667
5.2667 5.2667 1.7556
0.0000 0.0000 3.5111
0.0000 3.5111 0.0000
3.5111 0.0000 0.0000
3.5111 3.5111 3.5111



(8)
NaCaGdIr | Alexandria | PBE-GGA | relaxed; V = 23.2 Å³ per atom; M_tot = 7.4 μB/f.u.; ΔH_f (0 K) = -0.1807 eV per atom
1.0
7.1904 0.0000 0.0000
0.0000 7.1904 0.0000
0.0000 0.0000 7.1904
Na Ca Gd Ir
4 4 4 4
Cartesian
0.0000 0.0000 0.0000
0.0000 3.5952 3.5952
3.5952 0.0000 3.5952
3.5952 3.5952 0.0000
1.7976 1.7976 1.7976
1.7976 5.3928 5.3928
5.3928 1.7976 5.3928
5.3928 5.3928 1.7976
1.7976 1.7976 5.3928
1.7976 5.3928 1.7976
5.3928 1.7976 1.7976
5.3928 5.3928 5.3928
0.0000 0.0000 3.5952
0.0000 3.5952 0.0000
3.5952 0.0000 0.0000
3.5952 3.5952 3.5952



Copy entry 1 word for word.
CaGdYIn | Alexandria | PBE-GGA | relaxed; V = 29.7 Å³ per atom; M_tot = 7.5 μB/f.u.; ΔH_f (0 K) = -0.1610 eV per atom
1.0
7.8050 0.0000 0.0000
0.0000 7.8050 0.0000
0.0000 0.0000 7.8050
Ca Gd Y In
4 4 4 4
Cartesian
0.0000 0.0000 0.0000
0.0000 3.9025 3.9025
3.9025 0.0000 3.9025
3.9025 3.9025 0.0000
1.9512 1.9512 5.8537
1.9512 5.8537 1.9512
5.8537 1.9512 1.9512
5.8537 5.8537 5.8537
1.9512 1.9512 1.9512
1.9512 5.8537 5.8537
5.8537 1.9512 5.8537
5.8537 5.8537 1.9512
0.0000 0.0000 3.9025
0.0000 3.9025 0.0000
3.9025 0.0000 0.0000
3.9025 3.9025 3.9025



Question: Among the records above, which one has the highest M_tot?
Answer: CaGdYIn



Question: Which of these has the lowest V?
Answer: CaGdIr4